(1)
DFT (PBE-GGA) results for an optimized crystal structure of Li7TmSn4.

The calculation puts the total DFT energy (no corrections) at -36.52 eV per formula unit. As for the total magnetic moment: 0.00 μB/atom. The calculation puts the calculated formation energy at -0.220 eV per atom. The value obtained for the volume is 21.59 Å³ per atom.

It has space group C2/m (No. 12), with a = 12.8882 Å, b = 4.9825 Å, c = 9.9075 Å, α = 90.00°, β = 125.46° and γ = 90.00°. The asymmetric unit holds Li at (0.0000, 0.0000, 0.0000), Li at (0.0758, 0.5000, 0.3743), Li at (0.1630, 0.0000, 0.5943), Li at (0.2132, 0.5000, 0.8743), Tm at (0.0000, 0.5000, 0.0000), Sn at (0.0715, 0.0000, 0.7958) and Sn at (0.1900, 0.0000, 0.3113).

---

(2)
DFT (PBE-GGA) results for an optimized crystal structure of PrCdAuO4.

The calculation puts the total DFT energy (no corrections) at -38.43 eV per formula unit. As for the total magnetic moment: 0.00 μB/atom. The value obtained for the volume is 16.72 Å³ per atom.

It has space group Imma (No. 74), with a = 6.4182 Å, b = 7.4280 Å, c = 9.8217 Å, α = 90.00°, β = 90.00° and γ = 90.00°. The asymmetric unit holds Pr at (0.0000, 0.0000, 0.0000), Cd at (0.0000, 0.2500, 0.3064), Au at (0.2500, 0.2500, 0.7500), O at (0.0000, 0.0762, 0.7556) and O at (0.2105, 0.2500, 0.0791).

---

> Number 2 is which compound?

PrCdAuO4